Entry 1:
VASP calculation (PBE) on Ho2B2Ru after structural relaxation.

Values from the calculation:
magnetization = 0.0000 μB per atom
crystal system = monoclinic
energy of formation from the pure elements = -0.378 eV per atom
energy = -0.2475 hartree per atom

abc: 5.8310 5.8310 9.2412
angles: 117.88 117.88 36.73
Element x y z (fractional)
Ho  0.0061  0.0061  0.1788
Ho  0.1753  0.1753  0.5980
Ho  0.8247  0.8247  0.4020
Ho  0.9939  0.9939  0.8212
B  0.3326  0.3326  0.9319
B  0.4867  0.4867  0.3962
B  0.5133  0.5133  0.6038
B  0.6674  0.6674  0.0681
Ru  0.2791  0.2791  0.1348
Ru  0.7209  0.7209  0.8652

***

Entry 2:
VASP calculation (PBE) on BePOs2 after structural relaxation.

Values from the calculation:
magnetization = 0.0000 μB per atom
crystal system = monoclinic
energy of formation from the pure elements = 0.088 eV per atom
energy = -0.2870 hartree per atom

abc: 2.8459 3.5798 5.2063
angles: 90.00 103.09 90.00
Element x y z (fractional)
Be  0.0000  0.0000  0.0000
P  0.0000  0.0000  0.5000
Os  0.3537  0.5000  0.7407
Os  0.6463  0.5000  0.2593

***

Entry 3:
VASP calculation (PBE) on LaSi2P after structural relaxation.

Values from the calculation:
magnetization = 0.0000 μB per atom
E_form (uncorrected) = -444 meV per atom
crystal system = monoclinic
energy = -0.2109 hartree per atom

abc: 4.8173 4.8173 5.1416
angles: 107.14 107.14 45.22
Element x y z (fractional)
La  0.0000  0.0000  0.0000
Si  0.2228  0.2228  0.6276
Si  0.5043  0.5043  0.4975
P  0.7821  0.7821  0.3723

***

Entry 4:
VASP calculation (PBE) on CaTaSb2 after structural relaxation.

Values from the calculation:
magnetization = 0.0480 μB per atom
E_form (uncorrected) = 279 meV per atom
crystal system = trigonal
energy = -0.1928 hartree per atom

abc: 11.4851 11.4851 11.4851
angles: 16.39 16.39 16.39
Element x y z (fractional)
Ca  0.0000  0.0000  0.0000
Ta  0.7467  0.7467  0.7467
Sb  0.2554  0.2554  0.2554
Sb  0.4815  0.4815  0.4815

***

Entry 5:
VASP calculation (PBE) on Ce5Ge4N after structural relaxation.

Values from the calculation:
magnetization = 0.1032 μB per atom
E_form (uncorrected) = -727 meV per atom
crystal system = tetragonal
energy = -0.2342 hartree per atom

abc: 7.1082 7.1082 7.1082
angles: 100.06 100.06 130.58
Element x y z (fractional)
Ce  0.0000  0.0000  0.0000
Ce  0.1832  0.3595  0.6358
Ce  0.3595  0.7237  0.1763
Ce  0.5474  0.1832  0.8237
Ce  0.7237  0.5474  0.3642
Ge  0.0366  0.6436  0.7807
Ge  0.2559  0.0366  0.3930
Ge  0.6436  0.8629  0.6070
Ge  0.8629  0.2559  0.2193
N  0.3862  0.3862  0.0000

***

Entry 6:
VASP calculation (PBE) on TlAg2Os after structural relaxation.

Values from the calculation:
magnetization = 0.0000 μB per atom
crystal system = orthorhombic
energy of formation from the pure elements = 0.672 eV per atom
energy = -0.1526 hartree per atom

abc: 3.2383 4.5989 4.8485
angles: 90.00 90.00 90.00
Element x y z (fractional)
Tl  0.0000  0.0000  0.0000
Ag  0.0000  0.5000  0.5000
Ag  0.5000  0.0000  0.5000
Os  0.5000  0.5000  0.0000

***

Entry 7:
VASP calculation (PBE) on La6NiN3 after structural relaxation.

Values from the calculation:
magnetization = 0.0012 μB per atom
E_form (uncorrected) = -797 meV per atom
crystal system = monoclinic
energy = -0.2510 hartree per atom

abc: 11.2703 3.6984 12.6949
angles: 90.00 112.35 90.00
Element x y z (fractional)
La  0.0217  0.2500  0.2692
La  0.1436  0.2500  0.5723
La  0.1523  0.7500  0.1032
La  0.3061  0.7500  0.4106
La  0.3493  0.7500  0.9222
La  0.4531  0.2500  0.2230
La  0.5469  0.7500  0.7770
La  0.6507  0.2500  0.0778
La  0.6939  0.2500  0.5894
La  0.8477  0.2500  0.8968
La  0.8564  0.7500  0.4277
La  0.9783  0.7500  0.7308
Ni  0.1529  0.2500  0.9378
Ni  0.8471  0.7500  0.0622
N  0.0853  0.7500  0.4305
N  0.2526  0.2500  0.2696
N  0.4951  0.7500  0.1150
N  0.5049  0.2500  0.8850
N  0.7474  0.7500  0.7304
N  0.9147  0.2500  0.5695

***

Entry 8:
VASP calculation (PBE) on SiTeN2O after structural relaxation.

Values from the calculation:
magnetization = 0.0000 μB per atom
E_form (uncorrected) = -29 meV per atom
crystal system = tetragonal
energy = -0.2228 hartree per atom

abc: 3.8114 3.8114 3.4541
angles: 90.00 90.00 90.00
Element x y z (fractional)
Si  0.0000  0.0000  0.0000
Te  0.5000  0.5000  0.5000
N  0.0000  0.5000  0.0000
N  0.5000  0.0000  0.0000
O  0.0000  0.0000  0.5000

***

Q: What is the formula in the seventh record?
A: La6NiN3

***

Q: Which formula does entry 8 have?
A: SiTeN2O